! RhO3F6 (PBE, relaxed); values from VASP
! Formation energy from raw total energies: -756 meV/atom
! Total magnetic moment: 3.030 Bohr magnetons per cell
&SYSTEM
  ibrav = 0, nat = 10, ntyp = 3
/
ATOMIC_SPECIES
Rh 102.91 Rh.upf
O 16.00 O.upf
F 19.00 F.upf
CELL_PARAMETERS angstrom
4.560 -3.245 0.000
4.560 3.245 0.000
-0.141 0.000 5.351
ATOMIC_POSITIONS angstrom
Rh 0.000 0.000 0.000
O 3.554 0.418 2.081
O 4.490 -0.216 2.676
O 5.425 0.418 3.271
F 3.369 1.910 4.544
F 1.002 0.011 3.858
F 5.610 1.910 0.807
F 3.368 -1.919 4.532
F 7.977 0.011 1.494
F 5.612 -1.919 0.820



! PrThZnGa (PBE, relaxed); values from VASP
! ΔE_f: -0.3483 eV/atom
! Total magnetic moment: 0.000 Bohr magnetons per cell
&SYSTEM
  ibrav = 0, nat = 4, ntyp = 4
/
ATOMIC_SPECIES
Pr 140.91 Pr.upf
Th 232.04 Th.upf
Zn 65.41 Zn.upf
Ga 69.72 Ga.upf
CELL_PARAMETERS angstrom
0.000 3.700 3.700
3.700 0.000 3.700
3.700 3.700 0.000
ATOMIC_POSITIONS angstrom
Pr 0.000 0.000 0.000
Th 3.700 3.700 3.700
Zn 5.550 5.550 5.550
Ga 1.850 1.850 1.850



The lowest total magnetic moment belongs to which entry? PrThZnGa



What is the total magnetic moment in the first record? 3.030 Bohr magnetons per cell